Here is a geometry-optimized Sm2ErGa structure from the Alexandria database. Energies are from GGA-PBE.

Results
Volume ... 28.6 Å³ per atom
DOS at the Fermi energy ... 1.13 states/eV/atom
Energy of formation from the pure elements ... -0.24 eV per atom

abc: 3.5700 3.5700 8.9620
angles: 90.00 90.00 90.00
Space group P4/mmm (No. 123)
Unique sites:
Sm 0.0000 0.0000 0.2123
Er 0.5000 0.5000 0.5000
Ga 0.5000 0.5000 0.0000